# Li2ScInF

Li2ScInF after structural relaxation (PBE, Alexandria via LeMat-Bulk).

Summary:
magnetization = 0.00 μB/f.u.
raw formation energy = -6.1 eV/f.u.

Unit cell a=4.2538 b=4.2538 c=4.5496 alpha=90.00 beta=90.00 gamma=90.00
Element x y z (fractional)
Sc (0.0000, 0.0000, 0.5000)
F (0.0000, 0.0000, 0.0000)
Li (0.0000, 0.5000, 0.0000)
Li (0.5000, 0.0000, 0.0000)
In (0.5000, 0.5000, 0.5000)